(1)
Below is a geometry-optimized KBa2Cl structure, with properties calculated at the GGA-PBE level.

a = 4.307 Å, b = 7.885 Å, c = 13.173 Å
α = 90.00°, β = 90.00°, γ = 90.00°
Fractional coordinates of all 8 atoms:
K (0.000, 0.000, 0.000)
K (0.500, 0.500, 0.500)
Ba (0.000, 0.000, 0.635)
Ba (0.000, 0.500, 0.819)
Ba (0.500, 0.000, 0.319)
Ba (0.500, 0.500, 0.135)
Cl (0.000, 0.500, 0.308)
Cl (0.500, 0.000, 0.808)

Values from the calculation:
DOS(E_F) = 8.42 states/eV/cell
Formation energy from raw total energies = -2.77 eV per formula unit
Symmetry = Imm2, No. 44


(2)
Below is a geometry-optimized MgBPd3 structure, with properties calculated at the GGA-PBE level.

a = 5.273 Å, b = 5.273 Å, c = 5.273 Å
α = 85.94°, β = 85.94°, γ = 85.94°
Fractional coordinates of all 10 atoms:
Mg (0.000, 0.000, 0.000)
Mg (0.500, 0.500, 0.500)
B (0.250, 0.250, 0.250)
B (0.750, 0.750, 0.750)
Pd (0.032, 0.750, 0.468)
Pd (0.250, 0.532, 0.968)
Pd (0.468, 0.032, 0.750)
Pd (0.532, 0.968, 0.250)
Pd (0.750, 0.468, 0.032)
Pd (0.968, 0.250, 0.532)

Values from the calculation:
DOS(E_F) = 4.50 states/eV/cell
Energy of formation from the pure elements = -0.181 eV/atom
Symmetry = R-3c, No. 167


(3)
Below is a geometry-optimized Ru4PtRh structure, with properties calculated at the GGA-PBE level.

a = 4.692 Å, b = 8.220 Å, c = 4.692 Å
α = 90.00°, β = 109.11°, γ = 90.00°
Fractional coordinates of all 12 atoms:
Ru (0.000, 0.172, 0.000)
Ru (0.000, 0.326, 0.500)
Ru (0.000, 0.674, 0.500)
Ru (0.000, 0.828, 0.000)
Ru (0.500, 0.174, 0.500)
Ru (0.500, 0.328, 0.000)
Ru (0.500, 0.672, 0.000)
Ru (0.500, 0.826, 0.500)
Pt (0.000, 0.500, 0.000)
Pt (0.500, 0.000, 0.000)
Rh (0.000, 0.000, 0.500)
Rh (0.500, 0.500, 0.500)

Values from the calculation:
DOS(E_F) = 15.24 states/eV/cell
Energy of formation from the pure elements = 0.032 eV/atom
Symmetry = C2/m, No. 12


(4)
Below is a geometry-optimized PrCuGeN structure, with properties calculated at the GGA-PBE level.

a = 3.871 Å, b = 3.871 Å, c = 8.774 Å
α = 90.00°, β = 90.00°, γ = 90.00°
Fractional coordinates of all 8 atoms:
Pr (0.250, 0.250, 0.152)
Pr (0.750, 0.750, 0.848)
Cu (0.250, 0.750, 0.500)
Cu (0.750, 0.250, 0.500)
Ge (0.250, 0.250, 0.662)
Ge (0.750, 0.750, 0.338)
N (0.250, 0.250, 0.880)
N (0.750, 0.750, 0.120)

Values from the calculation:
DOS(E_F) = 1.93 states/eV/cell
Formation energy from raw total energies = -2.68 eV per formula unit
Symmetry = P4/nmm, No. 129